Crystalline LaDy2Fe at its relaxed geometry. Source: the Alexandria database, functional PBE.

```
LaDy2Fe
1.0
1.7497 1.0102 10.6772
-1.7497 1.0102 10.6772
0.0000 -2.0204 10.6772
La Dy Fe
1 2 1
Direct
0.0000 0.0000 0.0000 La
0.1095 0.1095 0.1095 Dy
0.8905 0.8905 0.8905 Dy
0.5000 0.5000 0.5000 Fe
```

**Energy above the most stable polymorph in this dataset**: 0.210 eV per atom
**Uncorrected energy**: -5.36 eV per atom
**Fermi-level density of states**: 1.41 states/eV per atom
**Formation energy**: 1.15 eV/f.u.
**Theoretical density**: 7.622 g/cm3